# 1
Below is a relaxed structure of ThBe3Ag4, with properties calculated at the GGA-PBE level.

a b c (Å): 6.5127 6.5127 6.5127
angles (deg): 129.79 129.79 73.75
Fractional positions:
1 Th 0.0000 0.0000 0.0000
2 Be 0.2500 0.7500 0.5000
3 Be 0.5000 0.5000 0.0000
4 Be 0.7500 0.2500 0.5000
5 Ag 0.1510 0.1510 0.6463
6 Ag 0.4953 0.8490 0.0000
7 Ag 0.5047 0.5047 0.3537
8 Ag 0.8490 0.4953 0.0000

## Properties
uncorrected energy	-0.23281	Ry per atom
SG	No. 121

***

# 2
Below is a relaxed structure of LuZrNiPb, with properties calculated at the GGA-PBE level.

a b c (Å): 4.9464 4.9464 4.9464
angles (deg): 60.00 60.00 60.00
Fractional positions:
1 Lu 0.0000 0.0000 0.0000
2 Zr 0.7500 0.7500 0.7500
3 Ni 0.5000 0.5000 0.5000
4 Pb 0.2500 0.2500 0.2500

## Properties
uncorrected energy	-0.39181	Ry per atom
SG	No. 216

***

# 3
Below is a relaxed structure of SrCdNO, with properties calculated at the GGA-PBE level.

a b c (Å): 5.0419 5.0419 4.8622
angles (deg): 90.00 90.00 90.00
Fractional positions:
1 Sr 0.2500 0.7500 0.0000
2 Sr 0.7500 0.2500 0.0000
3 Cd 0.2500 0.2500 0.4998
4 Cd 0.7500 0.7500 0.5002
5 N 0.2500 0.2500 0.0009
6 N 0.7500 0.7500 0.9991
7 O 0.2500 0.7500 0.5000
8 O 0.7500 0.2500 0.5000

## Properties
uncorrected energy	-0.33353	Ry per atom
SG	No. 129
distance to the lowest polymorph of the same formula	0.42	eV per formula unit

***

# 4
Below is a relaxed structure of Cu2H6CI3N, with properties calculated at the GGA-PBE level.

a b c (Å): 8.9943 5.7427 9.1691
angles (deg): 90.00 113.12 90.00
Fractional positions:
1 Cu 0.1795 0.0106 0.1368
2 Cu 0.1795 0.4894 0.1368
3 Cu 0.8205 0.5106 0.8632
4 Cu 0.8205 0.9894 0.8632
5 H 0.1221 0.0940 0.5565
6 H 0.1221 0.4060 0.5565
7 H 0.1497 0.2500 0.7355
8 H 0.3786 0.2500 0.5707
9 H 0.4062 0.1035 0.7365
10 H 0.4062 0.3965 0.7365
11 H 0.5938 0.6035 0.2635
12 H 0.5938 0.8965 0.2635
13 H 0.6214 0.7500 0.4293
14 H 0.8503 0.7500 0.2645
15 H 0.8779 0.5940 0.4435
16 H 0.8779 0.9060 0.4435
17 C 0.1728 0.2500 0.6269
18 C 0.8272 0.7500 0.3731
19 I 0.0760 0.7500 0.8684
20 I 0.2782 0.7500 0.3930
21 I 0.4189 0.2500 0.1112
22 I 0.5811 0.7500 0.8888
23 I 0.7218 0.2500 0.6070
24 I 0.9240 0.2500 0.1316
25 N 0.3503 0.2500 0.6699
26 N 0.6497 0.7500 0.3301

## Properties
uncorrected energy	-0.30169	Ry per atom
SG	No. 11

***

# 5
Below is a relaxed structure of MgCdAg2, with properties calculated at the GGA-PBE level.

a b c (Å): 4.7369 4.7369 4.7369
angles (deg): 60.00 60.00 60.00
Fractional positions:
1 Mg 0.0000 0.0000 0.0000
2 Cd 0.5000 0.5000 0.5000
3 Ag 0.2500 0.2500 0.2500
4 Ag 0.7500 0.7500 0.7500

## Properties
uncorrected energy	-0.16194	Ry per atom
SG	No. 225

***

# 6
Below is a relaxed structure of MgCuP, with properties calculated at the GGA-PBE level.

a b c (Å): 3.9252 3.9252 7.0195
angles (deg): 90.00 90.00 120.00
Fractional positions:
1 Mg 0.0000 0.0000 0.0000
2 Mg 0.0000 0.0000 0.5000
3 Cu 0.3333 0.6667 0.2500
4 Cu 0.6667 0.3333 0.7500
5 P 0.3333 0.6667 0.7500
6 P 0.6667 0.3333 0.2500

## Properties
uncorrected energy	-0.28934	Ry per atom
SG	No. 194

***

# 7
Below is a relaxed structure of NaCoGe, with properties calculated at the GGA-PBE level.

a b c (Å): 4.3798 4.3798 4.3798
angles (deg): 60.00 60.00 60.00
Fractional positions:
1 Na 0.0000 0.0000 0.0000
2 Co 0.7500 0.7500 0.7500
3 Ge 0.2500 0.2500 0.2500

## Properties
uncorrected energy	-0.23652	Ry per atom
SG	No. 216

***

# 8
Below is a relaxed structure of NdSm5Se6, with properties calculated at the GGA-PBE level.

a b c (Å): 7.2461 7.2461 7.2224
angles (deg): 99.64 99.64 120.13
Fractional positions:
1 Nd 0.0000 0.0000 0.0000
2 Sm 0.1644 0.8356 0.5000
3 Sm 0.3336 0.6664 0.0000
4 Sm 0.5000 0.5000 0.5000
5 Sm 0.6664 0.3336 0.0000
6 Sm 0.8356 0.1644 0.5000
7 Se 0.0840 0.4208 0.2523
8 Se 0.2532 0.2532 0.7496
9 Se 0.4208 0.0840 0.2523
10 Se 0.5792 0.9160 0.7477
11 Se 0.7468 0.7468 0.2504
12 Se 0.9160 0.5792 0.7477

## Properties
uncorrected energy	-0.43554	Ry per atom
SG	No. 12

***

Question: Which of these has the highest uncorrected energy?
Answer: MgCdAg2

***

Question: Which value of uncorrected energy does entry 3 give?
Answer: -0.33353 Ry per atom

***

Question: Which of these has the lowest uncorrected energy?
Answer: NdSm5Se6

***

Question: What is the uncorrected energy in the first record?
Answer: -0.23281 Ry per atom